# 1
First-principles (GGA-PBE) data for a relaxed structure of Na4Ac3YO8, as listed in the Alexandria database.

Calculated values
Calculated density in Mg/m³: 6.03
Uncorrected formation energy in eV per atom: -2.559
Spin magnetization in μB/cell: 0.000
Calculated total energy in eV/cell: -314.04

a = 7.4474 Å, b = 7.4474 Å, c = 17.0359 Å
α = 90.00°, β = 90.00°, γ = 120.00°
Closest atoms and distances in Å follow each position.
Space group R-3m (No. 166, hexagonal axes)
Unique sites:
1 Na 0.0000 0.0000 0.0000 x3  6 O 2.79
2 Na 0.0000 0.5000 0.0000 x9  6 O 2.64-2.67
3 Ac 0.0000 0.5000 0.5000 x9  6 O 2.49-2.53
4 Y 0.0000 0.0000 0.5000 x3  6 O 2.37
5 O 0.0000 0.0000 0.2408 x6  3 Ac 2.49, 3 Na 2.67
6 O 0.0186 0.5093 0.2385 x18  1 Y 2.37, 2 Ac 2.53, 2 Na 2.64

***

# 2
First-principles (GGA-PBE) data for a relaxed structure of Na2AcYO4, as listed in the Alexandria database.

Calculated values
Calculated density in Mg/m³: 5.49
Uncorrected formation energy in eV per atom: -2.612
Spin magnetization in μB/cell: 0.000
Calculated total energy in eV/cell: -53.94

a = 6.0493 Å, b = 3.6085 Å, c = 6.3219 Å
α = 90.00°, β = 110.93°, γ = 90.00°
Closest atoms and distances in Å follow each position.
Space group P2/m (No. 10)
Unique sites:
1 Na 0.0000 0.0000 0.0000 x1  6 O 2.57-2.60
2 Na 0.0000 0.5000 0.5000 x1  6 O 2.67-2.79
3 Ac 0.5000 0.0000 0.5000 x1  6 O 2.49-2.51
4 Y 0.5000 0.5000 0.0000 x1  6 O 2.31-2.37
5 O 0.2836 0.5000 0.2363 x2  1 Y 2.31, 2 Ac 2.49, 2 Na 2.57
6 O 0.2862 0.0000 0.7754 x2  2 Y 2.37, 1 Ac 2.51, 1 Na 2.60

***

# 3
First-principles (GGA-PBE) data for a relaxed structure of Na3Ac2ZnO6, as listed in the Alexandria database.

Calculated values
Calculated density in Mg/m³: 6.01
Uncorrected formation energy in eV per atom: -1.986
Spin magnetization in μB/cell: 2.201
Calculated total energy in eV/cell: -134.07

a = 6.0688 Å, b = 10.9739 Å, c = 5.9400 Å
α = 90.00°, β = 107.18°, γ = 90.00°
Closest atoms and distances in Å follow each position.
Space group C2/m (No. 12)
Unique sites:
1 Na 0.0000 0.0000 0.0000 x2  6 O 2.57-2.74
2 Na 0.0000 0.3588 0.0000 x4  4 O 2.44
3 Ac 0.0000 0.1673 0.5000 x4  6 O 2.41-2.55
4 Zn 0.0000 0.5000 0.5000 x2  2 O 2.09
5 O 0.2271 0.5000 0.2952 x4  1 Zn 2.09
6 O 0.2361 0.3423 0.7326 x8  1 Zn 2.41, 2 Ac 2.41-2.55, 2 Na 2.44-2.57

***

# 4
First-principles (GGA-PBE) data for a relaxed structure of NaAc2ZrO6, as listed in the Alexandria database.

Calculated values
Calculated density in Mg/m³: 7.01
Uncorrected formation energy in eV per atom: -2.875
Spin magnetization in μB/cell: 2.175
Calculated total energy in eV/cell: -153.17

a = 5.9436 Å, b = 6.2547 Å, c = 10.2193 Å
α = 90.00°, β = 124.07°, γ = 90.00°
Closest atoms and distances in Å follow each position.
Space group P2_1/c (No. 14)
Unique sites:
1 Na 0.0000 0.0000 0.0000 x2  6 O 2.41-2.45
2 Ac 0.2261 0.0614 0.7429 x4  5 O 2.48-2.74
3 Zr 0.5000 0.0000 0.5000 x2  6 O 2.11-2.14
4 O 0.1555 0.1725 0.4511 x4  1 Zr 2.11
5 O 0.2545 0.7172 0.4258 x4  1 Zr 2.14
6 O 0.3876 0.0624 0.2671 x4  1 Zr 2.12

***

# 5
First-principles (GGA-PBE) data for a relaxed structure of Na3Ac2ZrO6, as listed in the Alexandria database.

Calculated values
Calculated density in Mg/m³: 5.60
Uncorrected formation energy in eV per atom: -2.466
Spin magnetization in μB/cell: 0.000
Calculated total energy in eV/cell: -160.13

a = 6.2622 Å, b = 11.2980 Å, c = 6.0909 Å
α = 90.00°, β = 102.28°, γ = 90.00°
Closest atoms and distances in Å follow each position.
Space group C2/m (No. 12)
Unique sites:
1 Na 0.0000 0.0000 0.0000 x2  6 O 2.63-2.91
2 Na 0.0000 0.3635 0.0000 x4  4 O 2.44-2.64
3 Ac 0.0000 0.1680 0.5000 x4  6 O 2.49-2.59
4 Zr 0.0000 0.5000 0.5000 x2  6 O 2.15-2.20
5 O 0.1856 0.3587 0.6863 x8  1 Zr 2.15
6 O 0.2474 0.0000 0.7011 x4  1 Zr 2.20

***

# 6
First-principles (GGA-PBE) data for a relaxed structure of Na3Ac3ZrO8, as listed in the Alexandria database.

Calculated values
Calculated density in Mg/m³: 6.06
Uncorrected formation energy in eV per atom: -2.701
Spin magnetization in μB/cell: 0.000
Calculated total energy in eV/cell: -315.05

a = 7.3999 Å, b = 7.3999 Å, c = 16.8041 Å
α = 90.00°, β = 90.00°, γ = 120.00°
Closest atoms and distances in Å follow each position.
Space group R-3m (No. 166, hexagonal axes)
Unique sites:
1 Na 0.0000 0.5000 0.0000 x9  6 O 2.62-2.64
2 Ac 0.0000 0.5000 0.5000 x9  6 O 2.47-2.55
3 Zr 0.0000 0.0000 0.5000 x3  6 O 2.17
4 O 0.0000 0.0000 0.2410 x6  3 Ac 2.47, 3 Na 2.64
5 O 0.0433 0.5216 0.2337 x18  1 Zr 2.17

***

# 7
First-principles (GGA-PBE) data for a relaxed structure of Na4Ac3ZrO8, as listed in the Alexandria database.

Calculated values
Calculated density in Mg/m³: 6.03
Uncorrected formation energy in eV per atom: -2.464
Spin magnetization in μB/cell: 1.671
Calculated total energy in eV/cell: -315.73

a = 7.4047 Å, b = 7.4047 Å, c = 17.2687 Å
α = 90.00°, β = 90.00°, γ = 120.00°
Closest atoms and distances in Å follow each position.
Space group R-3m (No. 166, hexagonal axes)
Unique sites:
1 Na 0.0000 0.0000 0.0000 x3  6 O 2.98
2 Na 0.0000 0.5000 0.0000 x9  6 O 2.64-2.65
3 Ac 0.0000 0.5000 0.5000 x9  6 O 2.51-2.58
4 Zr 0.0000 0.0000 0.5000 x3  6 O 2.18
5 O 0.0000 0.0000 0.2424 x6  3 Ac 2.51, 3 Na 2.65
6 O 0.0464 0.5232 0.2339 x18  1 Zr 2.18

***

# 8
First-principles (GGA-PBE) data for a relaxed structure of NaAc8Os2, as listed in the Alexandria database.

Calculated values
E_form in eV/f.u.: 0.38
Calculated density in Mg/m³: 8.38
Spin magnetization in μB/cell: 0.000
Calculated total energy in eV/cell: -112.53

a = 16.8515 Å, b = 7.6000 Å, c = 6.9360 Å
α = 90.00°, β = 98.05°, γ = 90.00°
Closest atoms and distances in Å follow each position.
Space group C2/m (No. 12)
Unique sites:
1 Na 0.0000 0.0000 0.0000 x2  6 Ac 3.65-3.78
2 Ac 0.0768 0.5000 0.8257 x4  1 Os 2.87
3 Ac 0.1384 0.2474 0.3837 x8  2 Os 3.01-3.04
4 Ac 0.2065 0.0000 0.8947 x4  1 Os 3.02
5 Os 0.2276 0.5000 0.6773 x4  6 Ac 2.87-3.04

***

# 9
First-principles (GGA-PBE) data for a relaxed structure of NaAc3Os, as listed in the Alexandria database.

Calculated values
Relative energy among the computed polymorphs in meV/atom: 0
E_form in eV/f.u.: 0.10
Calculated density in Mg/m³: 7.14
Spin magnetization in μB/cell: 0.000
Calculated total energy in eV/cell: -24.78

a = 5.9248 Å, b = 5.9248 Å, c = 5.9248 Å
α = 90.00°, β = 90.00°, γ = 90.00°
Closest atoms and distances in Å follow each position.
Space group Pm-3m (No. 221)
Unique sites:
1 Na 0.0000 0.0000 0.0000 x1  12 Ac 4.19
2 Ac 0.0000 0.5000 0.5000 x3  2 Os 2.96
3 Os 0.5000 0.5000 0.5000 x1  6 Ac 2.96

***

# 10
First-principles (GGA-PBE) data for a relaxed structure of Na2Ac5Os2, as listed in the Alexandria database.

Calculated values
E_form in eV/f.u.: 2.29
Calculated density in Mg/m³: 6.24
Spin magnetization in μB/cell: 0.000
Calculated total energy in eV/cell: -173.39

a = 8.2873 Å, b = 12.5099 Å, c = 16.0370 Å
α = 90.00°, β = 90.00°, γ = 90.00°
Closest atoms and distances in Å follow each position.
Space group Fmmm (No. 69)
Unique sites:
1 Na 0.0000 0.0000 0.2421 x8  9 Ac 4.14-4.34, 2 Na 4.15
2 Ac 0.0000 0.0000 0.5000 x4  2 Os 2.71
3 Ac 0.2500 0.2500 0.1215 x16  2 Os 2.87
4 Os 0.0000 0.2170 0.5000 x8  5 Ac 2.71-2.87

***

# 11
First-principles (GGA-PBE) data for a relaxed structure of NaAc4Os, as listed in the Alexandria database.

Calculated values
E_form in eV/f.u.: 0.35
Calculated density in Mg/m³: 8.04
Spin magnetization in μB/cell: 0.000
Calculated total energy in eV/cell: -114.53

a = 10.1965 Å, b = 14.0776 Å, c = 6.7260 Å
α = 90.00°, β = 106.48°, γ = 90.00°
Closest atoms and distances in Å follow each position.
Space group C2/c (No. 15)
Unique sites:
1 Na 0.0000 0.1150 0.2500 x4  8 Ac 3.66-3.94
2 Ac 0.1042 0.3342 0.5467 x8  2 Os 3.04-3.06
3 Ac 0.2421 0.0835 0.8898 x8  2 Os 3.25-3.26
4 Os 0.0000 0.4995 0.7500 x4  8 Ac 3.04-3.26, 2 Os 3.36

***

# 12
First-principles (GGA-PBE) data for a relaxed structure of NaAc3Os, as listed in the Alexandria database.

Calculated values
Relative energy among the computed polymorphs in meV/atom: 50
E_form in eV/f.u.: 0.35
Calculated density in Mg/m³: 7.63
Spin magnetization in μB/cell: 0.000
Calculated total energy in eV/cell: -98.12

a = 11.2768 Å, b = 6.7168 Å, c = 10.2786 Å
α = 90.00°, β = 90.17°, γ = 90.00°
Closest atoms and distances in Å follow each position.
Space group C2/m (No. 12)
Unique sites:
1 Na 0.2472 0.0000 0.0576 x4  2 Na 3.56, 3 Ac 3.63-3.99
2 Ac 0.0723 0.5000 0.2753 x4  2 Os 2.97
3 Ac 0.0731 0.0000 0.7238 x4  2 Os 2.96
4 Ac 0.2499 0.0000 0.4110 x4  4 Os 3.41, 1 Na 3.63, 2 Ac 3.79
5 Os 0.0000 0.2500 0.5000 x4  4 Ac 2.96-2.97

***

# 13
First-principles (GGA-PBE) data for a relaxed structure of NaAc2Os, as listed in the Alexandria database.

Calculated values
Relative energy among the computed polymorphs in meV/atom: 53
E_form in eV/f.u.: 0.41
Calculated density in Mg/m³: 8.08
Spin magnetization in μB/cell: 0.000
Calculated total energy in eV/cell: -20.36

a = 3.7010 Å, b = 3.7010 Å, c = 10.0065 Å
α = 90.00°, β = 90.00°, γ = 90.00°
Closest atoms and distances in Å follow each position.
Space group P4/mmm (No. 123)
Unique sites:
1 Na 0.0000 0.0000 0.0000 x1  4 Na 3.70
2 Ac 0.5000 0.5000 0.3218 x2  4 Os 3.17
3 Os 0.0000 0.0000 0.5000 x1  8 Ac 3.17

***

# 14
First-principles (GGA-PBE) data for a relaxed structure of NaAc2Os, as listed in the Alexandria database.

Calculated values
Relative energy among the computed polymorphs in meV/atom: 0
E_form in eV/f.u.: 0.20
Calculated density in Mg/m³: 6.92
Spin magnetization in μB/cell: 0.000
Calculated total energy in eV/cell: -41.14

a = 7.5257 Å, b = 4.3528 Å, c = 10.1276 Å
α = 90.00°, β = 105.09°, γ = 90.00°
Closest atoms and distances in Å follow each position.
Space group P2_1/m (No. 11)
Unique sites:
1 Na 0.2495 0.2500 0.9997 x2  6 Ac 4.15-4.21, 6 Na 4.34-4.35
2 Ac 0.0279 0.2500 0.3412 x2  3 Os 2.95
3 Ac 0.4723 0.2500 0.6589 x2  3 Os 2.95
4 Os 0.2501 0.7500 0.5000 x2  6 Ac 2.95

***

# 15
First-principles (GGA-PBE) data for a relaxed structure of NaAcP2, as listed in the Alexandria database.

Calculated values
Relative energy among the computed polymorphs in meV/atom: 0
E_form in eV/f.u.: -2.47
Calculated density in Mg/m³: 4.48
Spin magnetization in μB/cell: 0.000
Calculated total energy in eV/cell: -18.71

a = 4.1069 Å, b = 4.1069 Å, c = 6.8622 Å
α = 90.00°, β = 90.00°, γ = 90.00°
Closest atoms and distances in Å follow each position.
Space group P4/mmm (No. 123)
Unique sites:
1 Na 0.0000 0.0000 0.0000 x1  2 Ac 3.43, 8 P 3.68
2 Ac 0.0000 0.0000 0.5000 x1  8 P 3.13, 2 Na 3.43
3 P 0.5000 0.5000 0.3293 x2  1 P 2.34

***

# 16
First-principles (GGA-PBE) data for a relaxed structure of NaAcP, as listed in the Alexandria database.

Calculated values
Relative energy among the computed polymorphs in meV/atom: 50
E_form in eV/f.u.: -2.02
Calculated density in Mg/m³: 5.23
Spin magnetization in μB/cell: 0.001
Calculated total energy in eV/cell: -51.45

a = 7.0922 Å, b = 7.0922 Å, c = 7.0922 Å
α = 90.00°, β = 90.00°, γ = 90.00°
Closest atoms and distances in Å follow each position.
Space group F-43m (No. 216)
Unique sites:
1 Na 0.0000 0.0000 0.0000 x4  4 P 3.07
2 Ac 0.0000 0.0000 0.5000 x4  4 P 3.07
3 P 0.2500 0.2500 0.2500 x4  4 Ac 3.07, 4 Na 3.07

***

# 17
First-principles (GGA-PBE) data for a relaxed structure of NaAcP4, as listed in the Alexandria database.

Calculated values
E_form in eV/f.u.: -1.46
Calculated density in Mg/m³: 5.23
Spin magnetization in μB/cell: 0.000
Calculated total energy in eV/cell: -114.10

a = 7.8020 Å, b = 7.8020 Å, c = 7.8020 Å
α = 90.00°, β = 90.00°, γ = 90.00°
Closest atoms and distances in Å follow each position.
Space group F-43m (No. 216)
Unique sites:
1 Na 0.0000 0.0000 0.0000 x4  12 P 3.21, 4 Ac 3.38
2 Ac 0.2500 0.2500 0.7500 x4  12 P 3.26, 4 Na 3.38
3 P 0.1348 0.1348 0.3652 x16  3 P 2.54

***

# 18
First-principles (GGA-PBE) data for a relaxed structure of NaAcP, as listed in the Alexandria database.

Calculated values
Relative energy among the computed polymorphs in meV/atom: 0
E_form in eV/f.u.: -2.17
Calculated density in Mg/m³: 4.79
Spin magnetization in μB/cell: 0.000
Calculated total energy in eV/cell: -26.02

a = 6.2288 Å, b = 4.6447 Å, c = 7.3278 Å
α = 90.00°, β = 113.20°, γ = 90.00°
Closest atoms and distances in Å follow each position.
Space group P2_1/m (No. 11)
Unique sites:
1 Na 0.1550 0.2500 0.0994 x2  3 P 2.93-3.14, 2 Na 3.00
2 Ac 0.3118 0.2500 0.6412 x2  4 P 3.03-3.13
3 P 0.1824 0.7500 0.3518 x2  3 Na 2.93-3.14, 4 Ac 3.03-3.13

***

# 19
First-principles (GGA-PBE) data for a relaxed structure of NaAcP2, as listed in the Alexandria database.

Calculated values
Relative energy among the computed polymorphs in meV/atom: 78
E_form in eV/f.u.: -2.16
Calculated density in Mg/m³: 5.39
Spin magnetization in μB/cell: 0.000
Calculated total energy in eV/cell: -73.61

a = 7.2724 Å, b = 7.2724 Å, c = 7.2724 Å
α = 90.00°, β = 90.00°, γ = 90.00°
Closest atoms and distances in Å follow each position.
Space group Fm-3m (No. 225)
Unique sites:
1 Na 0.0000 0.0000 0.0000 x4  8 P 3.15
2 Ac 0.0000 0.0000 0.5000 x4  8 P 3.15
3 P 0.2500 0.2500 0.2500 x8  4 Ac 3.15, 4 Na 3.15

***

# 20
First-principles (GGA-PBE) data for a relaxed structure of NaAcP, as listed in the Alexandria database.

Calculated values
Relative energy among the computed polymorphs in meV/atom: 159
E_form in eV/f.u.: -1.70
Calculated density in Mg/m³: 5.83
Spin magnetization in μB/cell: 0.924
Calculated total energy in eV/cell: -12.53

a = 4.6102 Å, b = 4.6102 Å, c = 4.3484 Å
α = 90.00°, β = 90.00°, γ = 120.00°
Closest atoms and distances in Å follow each position.
Space group P3m1 (No. 156)
Unique sites:
1 Na 0.0000 0.0000 0.0000 x1  3 P 2.66
2 Ac 0.3333 0.6667 0.4997 x1  6 P 3.43-3.44, 6 Na 3.44
3 P 0.6667 0.3333 0.9985 x1  3 Na 2.66